(1)
HfInRe2 (GGA-PBE, relaxed); DFT total energy = -9.040 eV/atom; magnetic moment = 0.00 μB/f.u.
1.0
0.000 3.271 3.271
3.271 0.000 3.271
3.271 3.271 0.000
Hf In Re
1 1 2
direct
0.000 0.000 0.000 Hf
0.750 0.750 0.750 In
0.250 0.250 0.250 Re
0.500 0.500 0.500 Re

=====

(2)
HfInRe (GGA-PBE, relaxed); DFT total energy = -7.500 eV/atom; magnetic moment = 0.01 μB/f.u.
1.0
0.000 3.243 3.243
3.243 0.000 3.243
3.243 3.243 0.000
Hf In Re
1 1 1
direct
0.000 0.000 0.000 Hf
0.750 0.750 0.750 In
0.250 0.250 0.250 Re

=====

(3)
Hf2InRe (GGA-PBE, relaxed); DFT total energy = -9.071 eV/atom; magnetic moment = 0.00 μB/f.u.
1.0
3.343 0.000 0.000
0.000 3.343 0.000
0.000 0.000 7.026
Hf In Re
2 1 1
direct
0.000 0.000 0.220 Hf
0.000 0.000 0.780 Hf
0.500 0.500 0.500 In
0.500 0.500 0.000 Re

=====

(4)
HfInRe (GGA-PBE, relaxed); DFT total energy = -7.951 eV/atom; magnetic moment = 0.01 μB/f.u.
1.0
0.000 3.218 3.218
3.218 0.000 3.218
3.218 3.218 0.000
Hf In Re
1 1 1
direct
0.000 0.000 0.000 Hf
0.500 0.500 0.500 In
0.250 0.250 0.250 Re

=====

(5)
HfIn2Re (GGA-PBE, relaxed); DFT total energy = -6.623 eV/atom; magnetic moment = 0.01 μB/f.u.
1.0
0.000 3.381 3.381
3.381 0.000 3.381
3.381 3.381 0.000
Hf In Re
1 2 1
direct
0.000 0.000 0.000 Hf
0.250 0.250 0.250 In
0.500 0.500 0.500 In
0.750 0.750 0.750 Re

=====

(6)
Hf2InRe (GGA-PBE, relaxed); DFT total energy = -8.686 eV/atom; magnetic moment = 0.00 μB/f.u.
1.0
0.000 3.363 3.363
3.363 0.000 3.363
3.363 3.363 0.000
Hf In Re
2 1 1
direct
0.000 0.000 0.000 Hf
0.250 0.250 0.250 Hf
0.500 0.500 0.500 In
0.750 0.750 0.750 Re

=====

(7)
Hf3InS5 (GGA-PBE, relaxed); DFT total energy = -6.920 eV/atom; magnetic moment = 0.00 μB/f.u.
1.0
6.021 0.000 0.000
-3.011 5.214 0.000
0.000 0.000 7.034
Hf In S
3 1 5
direct
0.000 0.500 0.000 Hf
0.500 0.000 0.000 Hf
0.500 0.500 0.000 Hf
0.000 0.000 0.500 In
0.000 0.000 0.000 S
0.333 0.667 0.262 S
0.333 0.667 0.738 S
0.667 0.333 0.262 S
0.667 0.333 0.738 S

=====

(8)
Hf3InSb5 (GGA-PBE, relaxed); DFT total energy = -6.062 eV/atom; magnetic moment = 0.00 μB/f.u.
1.0
6.285 0.000 0.000
-3.143 5.443 0.000
0.000 0.000 7.340
Hf In Sb
3 1 5
direct
0.000 0.500 0.000 Hf
0.500 0.000 0.000 Hf
0.500 0.500 0.000 Hf
0.000 0.000 0.500 In
0.000 0.000 0.000 Sb
0.333 0.667 0.305 Sb
0.333 0.667 0.695 Sb
0.667 0.333 0.305 Sb
0.667 0.333 0.695 Sb

=====

(9)
HfInSb2 (GGA-PBE, relaxed); DFT total energy = -4.971 eV/atom; magnetic moment = 0.06 μB/f.u.
1.0
0.000 3.687 3.687
3.687 0.000 3.687
3.687 3.687 0.000
Hf In Sb
1 1 2
direct
0.000 0.000 0.000 Hf
0.750 0.750 0.750 In
0.250 0.250 0.250 Sb
0.500 0.500 0.500 Sb

=====

(10)
HfScIn2 (GGA-PBE, relaxed); DFT total energy = -5.237 eV/atom; magnetic moment = 1.72 μB/f.u.
1.0
0.000 3.577 3.577
3.577 0.000 3.577
3.577 3.577 0.000
Hf Sc In
1 1 2
direct
0.000 0.000 0.000 Hf
0.750 0.750 0.750 Sc
0.250 0.250 0.250 In
0.500 0.500 0.500 In

=====

(11)
Hf2In3Se3 (GGA-PBE, relaxed); DFT total energy = -4.874 eV/atom; magnetic moment = 0.01 μB/f.u.
1.0
2.817 1.626 6.971
-2.817 1.626 6.971
0.000 -3.252 6.971
Hf In Se
2 3 3
direct
0.212 0.212 0.212 Hf
0.788 0.788 0.788 Hf
0.000 0.500 0.500 In
0.500 0.000 0.500 In
0.500 0.500 0.000 In
0.091 0.091 0.091 Se
0.500 0.500 0.500 Se
0.909 0.909 0.909 Se

=====

(12)
Hf3InSe5 (GGA-PBE, relaxed); DFT total energy = -6.450 eV/atom; magnetic moment = 0.00 μB/f.u.
1.0
6.131 0.000 0.000
-3.065 5.309 0.000
0.000 0.000 7.427
Hf In Se
3 1 5
direct
0.000 0.500 0.000 Hf
0.500 0.000 0.000 Hf
0.500 0.500 0.000 Hf
0.000 0.000 0.500 In
0.000 0.000 0.000 Se
0.333 0.667 0.270 Se
0.333 0.667 0.730 Se
0.667 0.333 0.270 Se
0.667 0.333 0.730 Se

=====

(13)
HfIn2Si (GGA-PBE, relaxed); DFT total energy = -4.888 eV/atom; magnetic moment = 0.00 μB/f.u.
1.0
0.000 3.505 3.505
3.505 0.000 3.505
3.505 3.505 0.000
Hf In Si
1 2 1
direct
0.000 0.000 0.000 Hf
0.500 0.500 0.500 In
0.750 0.750 0.750 In
0.250 0.250 0.250 Si

=====

(14)
HfInSi2 (GGA-PBE, relaxed); DFT total energy = -5.433 eV/atom; magnetic moment = 0.00 μB/f.u.
1.0
0.000 3.384 3.384
3.384 0.000 3.384
3.384 3.384 0.000
Hf In Si
1 1 2
direct
0.000 0.000 0.000 Hf
0.750 0.750 0.750 In
0.250 0.250 0.250 Si
0.500 0.500 0.500 Si

=====

(15)
Hf3InSi5 (GGA-PBE, relaxed); DFT total energy = -6.506 eV/atom; magnetic moment = 0.00 μB/f.u.
1.0
5.759 0.000 0.000
-2.879 4.987 0.000
0.000 0.000 6.696
Hf In Si
3 1 5
direct
0.000 0.500 0.000 Hf
0.500 0.000 0.000 Hf
0.500 0.500 0.000 Hf
0.000 0.000 0.500 In
0.000 0.000 0.000 Si
0.333 0.667 0.327 Si
0.333 0.667 0.673 Si
0.667 0.333 0.327 Si
0.667 0.333 0.673 Si

=====

(16)
SmHfIn (GGA-PBE, relaxed); DFT total energy = -5.006 eV/atom; magnetic moment = 0.70 μB/f.u.
1.0
0.000 3.594 3.594
3.594 0.000 3.594
3.594 3.594 0.000
Sm Hf In
1 1 1
direct
0.000 0.000 0.000 Sm
0.750 0.750 0.750 Hf
0.250 0.250 0.250 In

=====

(17)
SmHf2In (GGA-PBE, relaxed); DFT total energy = -6.891 eV/atom; magnetic moment = 0.03 μB/f.u.
1.0
4.579 0.000 0.000
0.000 4.579 0.000
0.000 0.000 4.563
Sm Hf In
1 2 1
direct
0.000 0.000 0.000 Sm
0.000 0.500 0.500 Hf
0.500 0.000 0.500 Hf
0.500 0.500 0.000 In

=====

(18)
SmHfIn (GGA-PBE, relaxed); DFT total energy = -5.532 eV/atom; magnetic moment = 0.11 μB/f.u.
1.0
0.000 3.538 3.538
3.538 0.000 3.538
3.538 3.538 0.000
Sm Hf In
1 1 1
direct
0.000 0.000 0.000 Sm
0.500 0.500 0.500 Hf
0.750 0.750 0.750 In

=====

(19)
Sm4Hf3In2 (GGA-PBE, relaxed); DFT total energy = -5.964 eV/atom; magnetic moment = 0.09 μB/f.u.
1.0
9.017 0.000 0.000
-4.508 7.809 0.000
0.000 0.000 3.404
Sm Hf In
4 3 2
direct
0.000 0.000 0.000 Sm
0.362 0.042 0.000 Sm
0.680 0.638 0.000 Sm
0.958 0.320 0.000 Sm
0.044 0.681 0.500 Hf
0.319 0.363 0.500 Hf
0.637 0.956 0.500 Hf
0.333 0.667 0.000 In
0.667 0.333 0.500 In

=====

(20)
Hf2InSn2 (GGA-PBE, relaxed); DFT total energy = -6.039 eV/atom; magnetic moment = 0.01 μB/f.u.
1.0
-2.047 2.047 7.289
2.047 -2.047 7.289
2.047 2.047 -7.289
Hf In Sn
2 1 2
direct
0.099 0.099 0.000 Hf
0.901 0.901 0.000 Hf
0.500 0.500 0.000 In
0.250 0.750 0.500 Sn
0.750 0.250 0.500 Sn

=====

(21)
HfInSn2 (GGA-PBE, relaxed); DFT total energy = -4.912 eV/atom; magnetic moment = 0.02 μB/f.u.
1.0
0.000 3.670 3.670
3.670 0.000 3.670
3.670 3.670 0.000
Hf In Sn
1 1 2
direct
0.000 0.000 0.000 Hf
0.750 0.750 0.750 In
0.250 0.250 0.250 Sn
0.500 0.500 0.500 Sn

=====

(22)
SrHfIn (GGA-PBE, relaxed); DFT total energy = -3.683 eV/atom; magnetic moment = 0.04 μB/f.u.
1.0
0.000 3.704 3.704
3.704 0.000 3.704
3.704 3.704 0.000
Sr Hf In
1 1 1
direct
0.000 0.000 0.000 Sr
0.750 0.750 0.750 Hf
0.250 0.250 0.250 In

=====

(23)
HfTaIn2 (GGA-PBE, relaxed); DFT total energy = -6.367 eV/atom; magnetic moment = 0.65 μB/f.u.
1.0
0.000 3.482 3.482
3.482 0.000 3.482
3.482 3.482 0.000
Hf Ta In
1 1 2
direct
0.000 0.000 0.000 Hf
0.750 0.750 0.750 Ta
0.250 0.250 0.250 In
0.500 0.500 0.500 In

=====

(24)
HfTaIn (GGA-PBE, relaxed); DFT total energy = -7.300 eV/atom; magnetic moment = 1.91 μB/f.u.
1.0
0.000 3.358 3.358
3.358 0.000 3.358
3.358 3.358 0.000
Hf Ta In
1 1 1
direct
0.000 0.000 0.000 Hf
0.250 0.250 0.250 Ta
0.500 0.500 0.500 In

=====

(25)
HfTa2In (GGA-PBE, relaxed); DFT total energy = -8.988 eV/atom; magnetic moment = 0.00 μB/f.u.
1.0
0.000 3.401 3.401
3.401 0.000 3.401
3.401 3.401 0.000
Hf Ta In
1 2 1
direct
0.000 0.000 0.000 Hf
0.250 0.250 0.250 Ta
0.500 0.500 0.500 Ta
0.750 0.750 0.750 In

=====

(26)
HfInTc (GGA-PBE, relaxed); DFT total energy = -7.474 eV/atom; magnetic moment = 0.00 μB/f.u.
1.0
0.000 3.200 3.200
3.200 0.000 3.200
3.200 3.200 0.000
Hf In Tc
1 1 1
direct
0.000 0.000 0.000 Hf
0.500 0.500 0.500 In
0.250 0.250 0.250 Tc

=====

(27)
HfInTc (GGA-PBE, relaxed); DFT total energy = -6.993 eV/atom; magnetic moment = 0.00 μB/f.u.
1.0
0.000 3.239 3.239
3.239 0.000 3.239
3.239 3.239 0.000
Hf In Tc
1 1 1
direct
0.000 0.000 0.000 Hf
0.750 0.750 0.750 In
0.250 0.250 0.250 Tc

=====

(28)
HfIn2Te (GGA-PBE, relaxed); DFT total energy = -4.494 eV/atom; magnetic moment = 0.01 μB/f.u.
1.0
0.000 3.663 3.663
3.663 0.000 3.663
3.663 3.663 0.000
Hf In Te
1 2 1
direct
0.000 0.000 0.000 Hf
0.250 0.250 0.250 In
0.500 0.500 0.500 In
0.750 0.750 0.750 Te

=====

(29)
Hf3InTe5 (GGA-PBE, relaxed); DFT total energy = -5.935 eV/atom; magnetic moment = 0.00 μB/f.u.
1.0
6.291 0.000 0.000
-3.145 5.448 0.000
0.000 0.000 8.296
Hf In Te
3 1 5
direct
0.000 0.500 0.000 Hf
0.500 0.000 0.000 Hf
0.500 0.500 0.000 Hf
0.000 0.000 0.500 In
0.000 0.000 0.000 Te
0.333 0.667 0.271 Te
0.333 0.667 0.729 Te
0.667 0.333 0.271 Te
0.667 0.333 0.729 Te